Computed, not measured: SmTlS3 after structural relaxation at the PBE level of DFT.

```
data_SmTlS3
_symmetry_space_group_name_H-M 'P 1 21/m 1'
_symmetry_Int_Tables_number 11
_cell_length_a 7.617
_cell_length_b 3.999
_cell_length_c 8.761
_cell_angle_alpha 90.00
_cell_angle_beta 104.16
_cell_angle_gamma 90.00
loop_
_symmetry_equiv_pos_as_xyz
'x,y,z'
'-x,-y,-z'
'-x,y+1/2,-z'
'x,-y+1/2,z'
loop_
_atom_site_label
_atom_site_fract_x
_atom_site_fract_y
_atom_site_fract_z
_atom_site_occupancy
Sm1 0.232 0.250 0.177 1
Tl1 0.196 0.250 0.708 1
S1 0.139 0.750 0.382 1
S2 0.162 0.750 0.932 1
S3 0.488 0.750 0.308 1
```

Computed, not measured: Sm4TlS6 after structural relaxation at the PBE level of DFT.

Properties
DOS at the Fermi energy = 8.7 states/eV per cell

```
data_Sm4TlS6
_symmetry_space_group_name_H-M 'C m c m'
_symmetry_Int_Tables_number 63
_symmetry_space_group_name_Hall '-C 2c 2'
_cell_length_a 4.043
_cell_length_b 13.486
_cell_length_c 21.321
_cell_angle_alpha 90.00
_cell_angle_beta 90.00
_cell_angle_gamma 90.00
loop_
_atom_site_label
_atom_site_fract_x
_atom_site_fract_y
_atom_site_fract_z
_atom_site_occupancy
Sm1 0.000 0.100 0.135 1
Sm2 0.000 0.369 0.042 1
Tl1 0.000 0.155 0.750 1
S1 0.000 0.000 0.000 1
S2 0.000 0.174 0.250 1
S3 0.000 0.272 0.579 1
S4 0.000 0.467 0.153 1
```

Computed, not measured: Sm5Tl2S2 after structural relaxation at the PBE level of DFT.

Properties
DOS at the Fermi energy = 8.6 states/eV per cell

```
data_Sm5Tl2S2
_symmetry_space_group_name_H-M 'P -1'
_symmetry_Int_Tables_number 2
_cell_length_a 3.927
_cell_length_b 7.875
_cell_length_c 8.946
_cell_angle_alpha 88.36
_cell_angle_beta 77.34
_cell_angle_gamma 89.91
loop_
_symmetry_equiv_pos_as_xyz
'x,y,z'
'-x,-y,-z'
loop_
_atom_site_label
_atom_site_fract_x
_atom_site_fract_y
_atom_site_fract_z
_atom_site_occupancy
Sm1 0.000 0.000 0.000 1
Sm2 0.125 0.578 0.747 1
Sm3 0.310 0.834 0.382 1
Tl1 0.472 0.680 0.055 1
S1 0.157 0.927 0.685 1
```

Computed, not measured: SmTl5S4 after structural relaxation at the PBE level of DFT.

```
data_SmTl5S4
_symmetry_space_group_name_H-M 'C 1 2/m 1'
_symmetry_Int_Tables_number 12
_cell_length_a 18.586
_cell_length_b 4.144
_cell_length_c 8.539
_cell_angle_alpha 90.00
_cell_angle_beta 108.99
_cell_angle_gamma 90.00
loop_
_symmetry_equiv_pos_as_xyz
'x,y,z'
'-x,-y,-z'
'-x,y,-z'
'x,-y,z'
'x+1/2,y+1/2,z'
'-x+1/2,-y+1/2,-z'
'-x+1/2,y+1/2,-z'
'x+1/2,-y+1/2,z'
loop_
_atom_site_label
_atom_site_fract_x
_atom_site_fract_y
_atom_site_fract_z
_atom_site_occupancy
Sm1 0.000 0.000 0.000 1
Tl1 0.000 0.000 0.500 1
Tl2 0.157 0.500 0.809 1
Tl3 0.185 0.500 0.307 1
S1 0.023 0.500 0.236 1
S2 0.158 0.000 0.046 1
```

Computed, not measured: Sm3TlS2 after structural relaxation at the PBE level of DFT.

Properties
DOS at the Fermi energy = 15.5 states/eV per cell

```
data_Sm3TlS2
_symmetry_space_group_name_H-M 'C m c m'
_symmetry_Int_Tables_number 63
_symmetry_space_group_name_Hall '-C 2c 2'
_cell_length_a 4.996
_cell_length_b 12.781
_cell_length_c 9.789
_cell_angle_alpha 90.00
_cell_angle_beta 90.00
_cell_angle_gamma 90.00
loop_
_atom_site_label
_atom_site_fract_x
_atom_site_fract_y
_atom_site_fract_z
_atom_site_occupancy
Sm1 0.000 0.105 0.250 1
Sm2 0.000 0.369 0.051 1
Tl1 0.000 0.222 0.750 1
S1 0.000 0.000 0.000 1
S2 0.000 0.470 0.750 1
```

Computed, not measured: SmTmTlS after structural relaxation at the PBE level of DFT.

Properties
DOS at the Fermi energy = 2.9 states/eV per cell

```
data_SmTmTlS
_symmetry_space_group_name_H-M 'P 1'
_symmetry_Int_Tables_number 1
_cell_length_a 3.805
_cell_length_b 3.809
_cell_length_c 8.498
_cell_angle_alpha 89.99
_cell_angle_beta 77.13
_cell_angle_gamma 60.06
loop_
_symmetry_equiv_pos_as_xyz
'x,y,z'
loop_
_atom_site_label
_atom_site_fract_x
_atom_site_fract_y
_atom_site_fract_z
_atom_site_occupancy
Sm1 0.000 0.000 0.000 1
Tm1 0.404 0.798 0.395 1
Tl1 0.872 0.564 0.691 1
S1 0.196 0.402 0.206 1
```

Computed, not measured: Sm2UTl2S6 after structural relaxation at the PBE level of DFT.

Properties
DOS at the Fermi energy = 11.6 states/eV per cell

```
data_Sm2UTl2S6
_symmetry_space_group_name_H-M 'C 1 2/m 1'
_symmetry_Int_Tables_number 12
_cell_length_a 7.065
_cell_length_b 12.242
_cell_length_c 7.914
_cell_angle_alpha 90.00
_cell_angle_beta 107.68
_cell_angle_gamma 90.00
loop_
_symmetry_equiv_pos_as_xyz
'x,y,z'
'-x,-y,-z'
'-x,y,-z'
'x,-y,z'
'x+1/2,y+1/2,z'
'-x+1/2,-y+1/2,-z'
'-x+1/2,y+1/2,-z'
'x+1/2,-y+1/2,z'
loop_
_atom_site_label
_atom_site_fract_x
_atom_site_fract_y
_atom_site_fract_z
_atom_site_occupancy
Sm1 0.000 0.167 0.000 1
U1 0.000 0.500 0.000 1
Tl1 0.000 0.331 0.500 1
S1 0.226 0.338 0.195 1
S2 0.248 0.000 0.197 1
```

Computed, not measured: Sm3UTl4S8 after structural relaxation at the PBE level of DFT.

Properties
DOS at the Fermi energy = 24.6 states/eV per cell

```
data_Sm3UTl4S8
_symmetry_space_group_name_H-M 'R -3 m'
_symmetry_Int_Tables_number 166
_symmetry_space_group_name_Hall '-R 3 2"'
_cell_length_a 8.2134
_cell_length_b 8.2134
_cell_length_c 22.5899
_cell_angle_alpha 90.00
_cell_angle_beta 90.00
_cell_angle_gamma 120.00
loop_
_atom_site_label
_atom_site_fract_x
_atom_site_fract_y
_atom_site_fract_z
_atom_site_occupancy
Sm1 0.0000 0.5000 0.0000 1
U1 0.0000 0.0000 0.0000 1
Tl1 0.0000 0.0000 0.5000 1
Tl2 0.0000 0.5000 0.5000 1
S1 0.0000 0.0000 0.2662 1
S2 0.0062 0.5031 0.7333 1
```

Number 1: uncorrected formation energy -97.6 kJ/mol of atoms, E_tot -4.90 eV/atom. Number 2: uncorrected formation energy -172.8 kJ/mol of atoms, E_tot -5.97 eV/atom. Number 3: uncorrected formation energy -82.9 kJ/mol of atoms, E_tot -4.92 eV/atom. Number 4: uncorrected formation energy -75.7 kJ/mol of atoms, E_tot -4.09 eV/atom. Number 5: uncorrected formation energy -118.7 kJ/mol of atoms, E_tot -5.36 eV/atom. Number 6: uncorrected formation energy -107.6 kJ/mol of atoms, E_tot -5.04 eV/atom. Number 7: uncorrected formation energy -138.6 kJ/mol of atoms, E_tot -6.00 eV/atom. Number 8: uncorrected formation energy -129.5 kJ/mol of atoms, E_tot -5.59 eV/atom.